The following is a DFT calculation (PBE-GGA) of an optimized crystal structure of TmGePd.

Cell: 4.502 4.502 4.502 Å, 60.00 60.00 60.00°
Element x y z (fractional)
Tm: 0.500 0.500 0.500
Ge: 0.000 0.000 0.000
Pd: 0.750 0.750 0.750

Properties
**Calculated total energy**: -0.204 Ha/atom